[1]
4
Lattice="-1.885 1.054 -2.543 -3.281 0.435 0.423 0.208 11.862 2.574" Properties=species:S:1:pos:R:3 comment="HfTh2Tl PBE optimized geometry" e_above_lowest_polymorph_kj_per_mol_fu=122 total_magnetization_mub_per_atom=0.000 formation_energy_ev_per_atom=0.334 pbc="T T T"
Tl -2.479 6.675 0.227
Hf 0.000 0.000 0.000
Th -0.288 8.938 1.730
Th -4.669 4.413 -1.276

---

[2]
4
Lattice="-3.185 0.693 -0.980 -1.172 -2.402 2.107 -0.769 6.762 7.281" Properties=species:S:1:pos:R:3 comment="HfTh2Tl PBE optimized geometry" e_above_lowest_polymorph_kj_per_mol_fu=0 total_magnetization_mub_per_atom=0.000 formation_energy_ev_per_atom=0.018 pbc="T T T"
Tl -2.563 2.526 4.204
Hf -2.178 -0.854 0.564
Th -0.586 5.155 5.550
Th -0.183 1.607 1.730

---

[3]
8
Lattice="3.509 0.000 0.000 0.000 5.763 0.000 0.000 0.000 11.592" Properties=species:S:1:pos:R:3 comment="HfTh4Tl3 PBE optimized geometry" total_magnetization_mub_per_atom=0.000 formation_energy_ev_per_atom=0.002 pbc="T T T"
Tl 1.755 0.000 2.874
Tl 1.755 2.881 5.796
Tl 1.755 0.000 8.718
Hf 1.755 2.881 0.000
Th 0.000 0.000 5.796
Th 0.000 2.881 8.731
Th 0.000 0.000 0.000
Th 0.000 2.881 2.861

---

[4]
12
Lattice="-3.514 -2.603 -1.301 4.606 -7.265 2.097 -3.027 0.279 7.617" Properties=species:S:1:pos:R:3 comment="HfThTl PBE optimized geometry" e_above_lowest_polymorph_kj_per_mol_fu=0 total_magnetization_mub_per_atom=0.000 formation_energy_ev_per_atom=0.049 pbc="T T T"
Tl -1.788 -4.466 1.765
Tl -4.278 -2.785 5.129
Tl 2.344 -6.803 3.284
Tl -0.146 -5.123 6.647
Hf 0.881 -7.364 8.357
Hf 0.480 -4.485 3.678
Hf -2.415 -5.104 4.735
Hf -2.815 -2.225 0.055
Th -2.304 -2.786 7.798
Th -1.540 -1.743 3.648
Th -0.394 -7.846 4.765
Th 0.369 -6.803 0.615

---

[5]
4
Lattice="-2.334 -3.432 -2.552 4.183 -1.727 -1.504 0.155 -2.911 3.773" Properties=species:S:1:pos:R:3 comment="HfTh2Tl PBE optimized geometry" e_above_lowest_polymorph_kj_per_mol_fu=6 total_magnetization_mub_per_atom=0.000 formation_energy_ev_per_atom=0.032 pbc="T T T"
Tl 1.002 -4.035 -0.141
Hf -1.167 -1.716 -1.276
Th 0.078 -1.456 1.887
Th 2.091 -0.863 -0.752

---

[6]
4
Lattice="3.355 0.000 0.000 1.677 2.905 0.000 1.677 0.968 11.820" Properties=species:S:1:pos:R:3 comment="Tm2HfTh PBE optimized geometry" e_above_lowest_polymorph_kj_per_mol_fu=100 total_magnetization_mub_per_atom=0.000 formation_energy_ev_per_atom=0.356 pbc="T T T"
Tm 1.677 0.968 8.729
Tm 5.032 2.905 3.091
Hf 0.000 0.000 0.000
Th 3.355 1.937 5.910

---

[7]
16
Lattice="-4.270 4.415 3.517 -0.987 -6.997 0.408 6.746 -0.442 8.746" Properties=species:S:1:pos:R:3 comment="Tm14HfTh PBE optimized geometry" total_magnetization_mub_per_atom=0.001 formation_energy_ev_per_atom=0.028 pbc="T T T"
Tm 1.292 -3.415 5.817
Tm -0.348 2.287 7.370
Tm -4.230 -0.996 3.212
Tm -0.839 -1.207 7.572
Tm -1.572 0.309 1.228
Tm 1.783 0.081 5.615
Tm 1.407 -3.243 9.281
Tm -2.016 -3.019 4.844
Tm 4.062 -1.939 7.299
Tm 0.640 -1.715 2.862
Tm 3.499 -5.414 7.457
Tm 0.173 -5.196 3.146
Tm 1.913 0.312 9.099
Tm -1.537 0.538 4.627
Hf -3.724 2.518 3.000
Th -2.078 -3.205 1.441

---

[8]
4
Lattice="4.936 0.000 0.000 0.000 4.773 0.000 0.000 0.000 4.773" Properties=species:S:1:pos:R:3 comment="Tm2HfTh PBE optimized geometry" e_above_lowest_polymorph_kj_per_mol_fu=0 total_magnetization_mub_per_atom=0.000 formation_energy_ev_per_atom=0.099 pbc="T T T"
Tm 0.000 0.000 2.386
Tm 0.000 2.386 0.000
Hf 2.468 0.000 0.000
Th 2.468 2.386 2.386